Density functional theory data (PBE) for an optimized crystal structure of RbBa2GaS.

Geometry as extended XYZ:
```
5
Lattice="6.1253 0.0000 0.0000 0.0000 6.1253 0.0000 0.0000 0.0000 6.1878" Properties=species:S:1:pos:R:3 pbc="T T T"
Rb 0.0000 0.0000 0.0000
Ba 0.0000 3.0626 3.0939
Ba 3.0626 0.0000 3.0939
Ga 3.0626 3.0626 0.0000
S 0.0000 0.0000 3.0939
```

Computed properties:
* E_form (uncorrected): -611 meV/atom
* size of the total moment: 1.8 μB/f.u.
* uncorrected energy: -15.02 eV per cell
* N(E_F): 0.59 states/eV per atom